Record 1
## La2SnPPd6 (PBE-GGA)

Data for crystalline La2SnPPd6 at its relaxed geometry.

Lattice parameters (Å, degrees): 5.6322 8.8875 8.4076 90.00 90.00 90.00
Closest atoms and distances in Å follow each position.
Space group Pmmn (No. 59, origin choice 2)
Symmetry-distinct sites (fractional):
La: 0.2500 0.0009 0.2374  7 Pd 3.09-3.39
Sn: 0.2500 0.7500 0.7870  6 Pd 2.61-2.74
P: 0.2500 0.2500 0.7256  6 Pd 2.36-2.41
Pd: 0.0006 0.7500 0.5073  1 P 2.41
Pd: 0.0080 0.2500 0.9546  1 P 2.36, 1 Sn 2.61
Pd: 0.2500 0.0039 0.6102  1 P 2.39

Summary:
As for the formation energy: -0.794 eV/atom. Its magnetic moment is 0.0 μB/cell. The mass density comes out at 8.41 g/cm³.



Record 2
## Sm3NO (PBE-GGA)

Data for crystalline Sm3NO at its relaxed geometry.

Lattice parameters (Å, degrees): 7.3227 7.3227 7.3227 90.00 90.00 90.00
Closest atoms and distances in Å follow each position.
Space group P2_13 (No. 198)
Symmetry-distinct sites (fractional):
Sm: 0.9996 0.2429 0.3737  2 N 2.41-2.63, 2 O 2.52-2.55
N: 0.0732 0.9268 0.4268  6 Sm 2.41-2.63
O: 0.1664 0.3336 0.6664  6 Sm 2.52-2.55

Summary:
The value obtained for the uncorrected formation energy is -7.54 eV/f.u. Its magnetic moment is 0.0 μB/cell. The mass density comes out at 8.14 g/cm³.



Record 3
## Cd3MoPd (PBE-GGA)

Data for crystalline Cd3MoPd at its relaxed geometry.

Lattice parameters (Å, degrees): 5.3100 5.3100 5.3100 90.00 90.00 90.00
Closest atoms and distances in Å follow each position.
Space group Pm-3m (No. 221)
Symmetry-distinct sites (fractional):
Cd: 0.0000 0.0000 0.5000  2 Mo 2.65
Mo: 0.0000 0.0000 0.0000  6 Cd 2.65
Pd: 0.5000 0.5000 0.5000  12 Cd 3.75

Summary:
As for the formation energy: 1.258 eV/atom. Its magnetic moment is 2.9 μB/cell. The mass density comes out at 5.98 g/cm³. The value obtained for the energy above the lowest structure with this stoichiometry is 0.393 eV per atom.



Record 4
## SrTiFeP2 (PBE-GGA)

Data for crystalline SrTiFeP2 at its relaxed geometry.

Lattice parameters (Å, degrees): 3.8875 3.8875 12.5346 90.00 90.00 90.00
Closest atoms and distances in Å follow each position.
Space group I-4m2 (No. 119)
Symmetry-distinct sites (fractional):
Sr: 0.0000 0.0000 0.0000  8 P 3.24
Ti: 0.0000 0.5000 0.7500  4 P 2.41
Fe: 0.0000 0.5000 0.2500  4 P 2.41
P: 0.0000 0.0000 0.3631  2 Fe 2.41, 2 Ti 2.41

Summary:
As for the formation energy: -0.912 eV/atom. Its magnetic moment is 3.9 μB/cell. The mass density comes out at 4.44 g/cm³.